Here is a relaxed Co2GePbS crystal from Alexandria via LeMat-Bulk. Energies are from PBE. Values from VASP.

The structure in Quantum ESPRESSO input format:
```
&SYSTEM
  ibrav = 0, nat = 5, ntyp = 4
/
ATOMIC_SPECIES
Co 58.93 Co.upf
Ge 72.64 Ge.upf
Pb 207.20 Pb.upf
S 32.06 S.upf
CELL_PARAMETERS angstrom
4.189 0.000 0.000
0.000 4.189 0.000
0.000 0.000 5.812
ATOMIC_POSITIONS crystal
Co 0.000 0.500 0.000
Co 0.500 0.000 0.000
Ge 0.000 0.000 0.500
Pb 0.500 0.500 0.500
S 0.500 0.500 0.000
```

Summary:
The space-group type is P4/mmm (123). Its density of states at the Fermi level is 5.02 states/eV/cell. The size of the total moment is 0.531 μB/atom. The formation energy without anion corrections is 2.36 eV per formula unit.

***

Here is a relaxed HgGe2Pb crystal from Alexandria via LeMat-Bulk. Energies are from PBE. Values from VASP.

The structure in Quantum ESPRESSO input format:
```
&SYSTEM
  ibrav = 0, nat = 8, ntyp = 3
/
ATOMIC_SPECIES
Hg 200.59 Hg.upf
Ge 72.64 Ge.upf
Pb 207.20 Pb.upf
CELL_PARAMETERS angstrom
-3.150 3.150 6.305
3.150 -3.150 6.305
3.150 3.150 -6.305
ATOMIC_POSITIONS crystal
Hg 0.000 0.000 0.000
Hg 0.750 0.250 0.500
Ge 0.108 0.625 0.983
Ge 0.375 0.358 0.483
Ge 0.642 0.125 0.017
Ge 0.875 0.892 0.517
Pb 0.250 0.750 0.500
Pb 0.500 0.500 0.000
```

Summary:
The calculation puts the relative energy among the computed polymorphs at 0.0671 eV/atom. The space-group type is I-42d (122). As for the energy of formation: 0.37 eV/atom. Its density of states at the Fermi level is 4.48 states/eV/cell. The size of the total moment is 0.000 μB/atom.

***

Number 1: E -4.86 eV/atom. Number 2: E -2.94 eV/atom.